Compound: AcGaAuO
Source: Alexandria via LeMat-Bulk
Functional: PBE
Structure: relaxed

Properties
E_form (uncorrected)   -1714 meV per atom

a b c (Å): 4.3848 4.3848 9.1157
angles (deg): 90.00 90.00 90.00
Fractional coordinates of all 8 atoms:
Ac 0.0000 0.5000 0.8670
O 0.0000 0.0000 0.0000
Ga 0.0000 0.0000 0.5000
Au 0.5000 0.0000 0.6560
O 0.5000 0.5000 0.0000
Ac 0.5000 0.0000 0.1330
Au 0.0000 0.5000 0.3440
Ga 0.5000 0.5000 0.5000